1.
A plane-wave DFT calculation with GGA-PBE was carried out for Nd2TlZn2Pd5 after structural relaxation.

a = 3.8872 Å, b = 9.9251 Å, c = 9.9251 Å
α = 90.00°, β = 90.00°, γ = 90.00°
Fractional coordinates of all 20 atoms:
Nd: 0.0000 0.8212 0.6788
Pd: 0.5000 0.9332 0.2135
Pd: 0.5000 0.0668 0.7865
Pd: 0.5000 0.7135 0.4332
Zn: 0.0000 0.6171 0.8829
Tl: 0.0000 0.5000 0.5000
Pd: 0.5000 0.7865 0.9332
Zn: 0.0000 0.8829 0.3829
Pd: 0.5000 0.2135 0.0668
Pd: 0.5000 0.4332 0.2865
Nd: 0.0000 0.3212 0.8212
Nd: 0.0000 0.1788 0.3212
Pd: 0.5000 0.5000 0.0000
Nd: 0.0000 0.6788 0.1788
Zn: 0.0000 0.1171 0.6171
Zn: 0.0000 0.3829 0.1171
Pd: 0.5000 0.2865 0.5668
Tl: 0.0000 0.0000 0.0000
Pd: 0.5000 0.0000 0.5000
Pd: 0.5000 0.5668 0.7135

Properties
The total energy is -4.644 eV/atom. The calculated volume is 382.9 Å³ per cell. The value obtained for the calculated density is 10.02 g cm⁻³. The calculation puts the energy relative to the elements at -0.6022 eV per atom. The calculation puts the density of states at the Fermi level at 0.469 states/eV per atom.


2.
A plane-wave DFT calculation with GGA-PBE was carried out for TaIn2BPb after structural relaxation.

a = 5.4575 Å, b = 4.4108 Å, c = 5.4575 Å
α = 90.00°, β = 90.00°, γ = 90.00°
Fractional coordinates of all 5 atoms:
In: 0.0000 0.0000 0.5000
B: 0.0000 0.5000 0.0000
Pb: 0.5000 0.5000 0.5000
Ta: 0.0000 0.0000 0.0000
In: 0.5000 0.0000 0.0000

Properties
The total energy is -4.688 eV/atom. The calculated volume is 131.4 Å³ per cell. The value obtained for the calculated density is 7.95 g cm⁻³. The calculation puts the energy relative to the elements at 0.8549 eV per atom. The calculation puts the density of states at the Fermi level at 0.516 states/eV per atom.


3.
A plane-wave DFT calculation with GGA-PBE was carried out for Dy6Er2MgSc3 after structural relaxation.

a = 5.9838 Å, b = 5.9838 Å, c = 11.3181 Å
α = 95.07°, β = 95.07°, γ = 120.00°
Fractional coordinates of all 12 atoms:
Er: 0.6665 0.3335 0.0000
Mg: 0.0000 0.0000 0.0000
Dy: 0.5808 0.9145 0.7428
Sc: 0.1661 0.8339 0.5000
Dy: 0.4192 0.0855 0.2572
Dy: 0.2482 0.2482 0.7423
Sc: 0.8339 0.1661 0.5000
Dy: 0.7518 0.7518 0.2577
Dy: 0.0855 0.4192 0.2572
Sc: 0.5000 0.5000 0.5000
Dy: 0.9145 0.5808 0.7428
Er: 0.3335 0.6665 0.0000

Properties
The total energy is -4.732 eV/atom. The calculated volume is 345.4 Å³ per cell. The value obtained for the calculated density is 7.06 g cm⁻³. The calculation puts the energy relative to the elements at 0.0449 eV per atom. The calculation puts the density of states at the Fermi level at 1.278 states/eV per atom.


4.
A plane-wave DFT calculation with GGA-PBE was carried out for BaCuIr2 after structural relaxation.

a = 4.7850 Å, b = 4.7850 Å, c = 4.7850 Å
α = 119.70°, β = 119.70°, γ = 90.51°
Each line ends with the local moment (μB).
Fractional coordinates of all 4 atoms:
Ir: 0.0000 0.0000 0.0000  0.24
Cu: 0.7500 0.2500 0.5000  0.00
Ir: 0.2500 0.7500 0.5000  0.25
Ba: 0.5000 0.5000 0.0000  -0.01

Properties
The total energy is -5.148 eV/atom. The calculated volume is 77.8 Å³ per cell. The value obtained for the calculated density is 12.49 g cm⁻³. The calculation puts the energy relative to the elements at 0.7872 eV per atom. The calculation puts the density of states at the Fermi level at 1.453 states/eV per atom.


5.
A plane-wave DFT calculation with GGA-PBE was carried out for Cs3RbPd2F9 after structural relaxation.

a = 6.4529 Å, b = 6.4529 Å, c = 8.1734 Å
α = 90.00°, β = 90.00°, γ = 120.00°
Each line ends with the local moment (μB).
Fractional coordinates of all 15 atoms:
Pd: 0.3333 0.6667 0.1410  0.28
Cs: 0.6667 0.3333 0.3275  0.00
F: 0.0000 0.5000 0.0000  0.00
F: 0.6349 0.8175 0.2914  0.03
F: 0.8175 0.6349 0.7086  0.03
F: 0.5000 0.5000 0.0000  0.00
F: 0.1825 0.3651 0.2914  0.03
Rb: 0.0000 0.0000 0.5000  0.00
Cs: 0.3333 0.6667 0.6725  0.00
Pd: 0.6667 0.3333 0.8590  0.28
F: 0.1825 0.8175 0.2914  0.03
Cs: 0.0000 0.0000 0.0000  0.00
F: 0.8175 0.1825 0.7086  0.03
F: 0.5000 0.0000 0.0000  0.00
F: 0.3651 0.1825 0.7086  0.03

Properties
The total energy is -4.138 eV/atom. The calculated volume is 294.7 Å³ per cell. The value obtained for the calculated density is 4.89 g cm⁻³. The calculation puts the density of states at the Fermi level at 0.439 states/eV per atom.


6.
A plane-wave DFT calculation with GGA-PBE was carried out for NiAs2SeS after structural relaxation.

a = 4.7643 Å, b = 4.7643 Å, c = 4.7205 Å
α = 90.00°, β = 90.00°, γ = 90.00°
Each line ends with the local moment (μB).
Fractional coordinates of all 5 atoms:
As: 0.0000 0.5000 0.0000  0.00
As: 0.5000 0.0000 0.0000  0.00
S: 0.0000 0.0000 0.0000  0.00
Ni: 0.5000 0.5000 0.5000  0.39
Se: 0.0000 0.0000 0.5000  0.02

Properties
The total energy is -3.513 eV/atom. The calculated volume is 107.1 Å³ per cell. The value obtained for the calculated density is 4.95 g cm⁻³. The calculation puts the density of states at the Fermi level at 0.996 states/eV per atom.